A geometry-optimized CaNd2ErTe4 structure. Source: the Alexandria database, functional PBE.

a = 4.398 Å, b = 7.648 Å, c = 7.819 Å
α = 108.75°, β = 90.00°, γ = 90.00°
Fractional coordinates of all 8 atoms:
Er1 0.500 0.500 0.000
Te1 0.000 0.257 0.763
Nd1 0.500 0.000 0.500
Te2 0.500 0.250 0.240
Nd2 0.000 0.500 0.500
Te3 0.000 0.743 0.237
Ca1 0.000 0.000 0.000
Te4 0.500 0.750 0.760

## Properties
E_form (uncorrected) ... -1.417 eV/atom